Run a
A geometry-optimized Cu2C structure. Source: Alexandria, functional PBE.

Fermi-level density of states (states/eV per cell): 0.9
M_tot (μB per formula unit): 0.00

a b c (Å): 4.522 4.522 4.522
angles (deg): 38.20 38.20 38.20
Positions (direct):
1 Cu 0.246 0.246 0.246
2 Cu 0.754 0.754 0.754
3 C 0.000 0.000 0.000

---

Run b
A geometry-optimized Cu2C structure. Source: Alexandria, functional PBE.

Fermi-level density of states (states/eV per cell): 1.9
M_tot (μB per formula unit): 0.00

a b c (Å): 2.796 2.796 9.159
angles (deg): 90.00 90.00 120.00
Positions (direct):
1 Cu 0.333 0.667 0.114
2 Cu 0.333 0.667 0.386
3 Cu 0.667 0.333 0.614
4 Cu 0.667 0.333 0.886
5 C 0.000 0.000 0.250
6 C 0.000 0.000 0.750

---

Run c
A geometry-optimized Cu2C structure. Source: Alexandria, functional PBE.

Fermi-level density of states (states/eV per cell): 4.7
M_tot (μB per formula unit): 0.00

a b c (Å): 2.657 2.657 16.509
angles (deg): 90.00 90.00 120.00
Positions (direct):
1 Cu 0.000 0.000 0.077
2 Cu 0.000 0.000 0.923
3 Cu 0.333 0.667 0.582
4 Cu 0.333 0.667 0.732
5 Cu 0.667 0.333 0.268
6 Cu 0.667 0.333 0.418
7 C 0.000 0.000 0.500
8 C 0.333 0.667 0.847
9 C 0.667 0.333 0.153

---

Energies relative to the most stable structure are run a 50; run b 0; run c 268, reported in meV per atom.

---

Run a
A geometry-optimized Cu2C structure. Source: Alexandria, functional PBE.

Fermi-level density of states (states/eV per cell): 3.6
M_tot (μB per formula unit): 0.00

a b c (Å): 5.825 5.825 3.899
angles (deg): 90.00 90.00 149.21
Positions (direct):
1 Cu 0.066 0.934 0.750
2 Cu 0.317 0.683 0.750
3 Cu 0.683 0.317 0.250
4 Cu 0.934 0.066 0.250
5 C 0.330 0.670 0.250
6 C 0.670 0.330 0.750

---

Run b
A geometry-optimized Cu2C structure. Source: Alexandria, functional PBE.

Fermi-level density of states (states/eV per cell): 1.7
M_tot (μB per formula unit): 0.00

a b c (Å): 4.789 4.789 5.625
angles (deg): 105.56 105.56 32.52
Positions (direct):
1 Cu 0.114 0.114 0.253
2 Cu 0.167 0.167 0.817
3 Cu 0.833 0.833 0.183
4 Cu 0.886 0.886 0.747
5 C 0.489 0.489 0.373
6 C 0.511 0.511 0.627

---

Energies relative to the most stable structure are run a 401; run b 0, reported in meV per atom.

---

Run a
A geometry-optimized CuC2 structure. Source: Alexandria, functional PBE.

Fermi-level density of states (states/eV per cell): 2.4
M_tot (μB per formula unit): 0.00

a b c (Å): 4.382 4.382 7.587
angles (deg): 121.80 121.80 33.95
Positions (direct):
1 Cu 0.092 0.092 0.184
2 Cu 0.908 0.908 0.816
3 C 0.213 0.213 0.000
4 C 0.267 0.267 0.533
5 C 0.733 0.733 0.467
6 C 0.787 0.787 0.000

---

Run b
A geometry-optimized CuC2 structure. Source: Alexandria, functional PBE.

Fermi-level density of states (states/eV per cell): 1.6
M_tot (μB per formula unit): 0.00

a b c (Å): 4.309 4.309 6.866
angles (deg): 90.00 90.00 146.46
Positions (direct):
1 Cu 0.141 0.859 0.750
2 Cu 0.859 0.141 0.250
3 C 0.146 0.854 0.250
4 C 0.426 0.574 0.750
5 C 0.574 0.426 0.250
6 C 0.854 0.146 0.750

---

Energies relative to the most stable structure are run a 0; run b 105, reported in meV per atom.

---

Run a
A geometry-optimized Cu4C3 structure. Source: Alexandria, functional PBE.

Fermi-level density of states (states/eV per cell): 2.8
M_tot (μB per formula unit): 0.00

a b c (Å): 8.586 8.586 8.586
angles (deg): 160.74 160.74 27.37
Positions (direct):
1 Cu 0.071 0.071 0.000
2 Cu 0.317 0.317 0.000
3 Cu 0.683 0.683 0.000
4 Cu 0.929 0.929 0.000
5 C 0.191 0.191 0.000
6 C 0.500 0.500 0.000
7 C 0.809 0.809 0.000

---

Run b
A geometry-optimized Cu4C3 structure. Source: Alexandria, functional PBE.

Fermi-level density of states (states/eV per cell): 4.0
M_tot (μB per formula unit): 0.00

a b c (Å): 4.288 4.288 4.288
angles (deg): 90.00 90.00 90.00
Positions (direct):
1 Cu 0.222 0.222 0.778
2 Cu 0.222 0.778 0.222
3 Cu 0.778 0.222 0.222
4 Cu 0.778 0.778 0.778
5 C 0.000 0.500 0.500
6 C 0.500 0.000 0.500
7 C 0.500 0.500 0.000

---

Run c
A geometry-optimized Cu4C3 structure. Source: Alexandria, functional PBE.

Fermi-level density of states (states/eV per cell): 1.1
M_tot (μB per formula unit): 0.00

a b c (Å): 4.052 4.052 4.743
angles (deg): 90.00 90.00 120.00
Positions (direct):
1 Cu 0.000 0.000 0.250
2 Cu 0.000 0.000 0.750
3 Cu 0.333 0.667 0.000
4 Cu 0.667 0.333 0.000
5 C 0.000 0.500 0.500
6 C 0.500 0.000 0.500
7 C 0.500 0.500 0.500

---

Energies relative to the most stable structure are run a 37; run b 0; run c 301, reported in meV per atom.

---

Run a
A geometry-optimized Cu5C structure. Source: Alexandria, functional PBE.

Fermi-level density of states (states/eV per cell): 2.5
M_tot (μB per formula unit): 0.00

a b c (Å): 6.247 6.247 4.035
angles (deg): 90.00 90.00 154.64
Positions (direct):
1 Cu 0.000 0.000 0.000
2 Cu 0.129 0.871 0.500
3 Cu 0.329 0.671 0.000
4 Cu 0.671 0.329 0.000
5 Cu 0.871 0.129 0.500
6 C 0.500 0.500 0.500

---

Run b
A geometry-optimized Cu5C structure. Source: Alexandria, functional PBE.

Fermi-level density of states (states/eV per cell): 2.4
M_tot (μB per formula unit): 0.00

a b c (Å): 2.597 2.597 9.679
angles (deg): 90.00 90.00 90.00
Positions (direct):
1 Cu 0.000 0.000 0.000
2 Cu 0.000 0.000 0.373
3 Cu 0.000 0.000 0.627
4 Cu 0.500 0.500 0.183
5 Cu 0.500 0.500 0.817
6 C 0.500 0.500 0.500

---

Energies relative to the most stable structure are run a 82; run b 0, reported in meV per atom.